# 1
# NbV2Si4 (GGA-PBE, optimized geometry)
# - total moment (μB/f.u.) = 1.131
# - formation energy without anion corrections (eV/atom) = 0.545
data_NbV2Si4
_chemical_formula_sum 'Nb1 V2 Si4'
_cell_length_a 6.965
_cell_length_b 6.965
_cell_length_c 6.965
_cell_angle_alpha 140.49
_cell_angle_beta 140.49
_cell_angle_gamma 57.10
_symmetry_space_group_name_H-M 'P 1'
_symmetry_Int_Tables_number 1
loop_
_symmetry_equiv_pos_as_xyz
'x,y,z'
loop_
_atom_site_label
_atom_site_type_symbol
_atom_site_fract_x
_atom_site_fract_y
_atom_site_fract_z
Nb1 Nb 0.000 0.000 0.000
V1 V 0.409 0.409 0.000
V2 V 0.591 0.591 0.000
Si1 Si 0.000 0.500 0.500
Si2 Si 0.205 0.205 0.000
Si3 Si 0.500 0.000 0.500
Si4 Si 0.795 0.795 0.000



# 2
# Tb2NpAl9 (GGA-PBE, optimized geometry)
# - ΔH_f (0 K) (meV per atom) = -278.5
# - total moment (μB/f.u.) = 4.627
data_Tb2NpAl9
_chemical_formula_sum 'Tb2 Np1 Al9'
_cell_length_a 9.392
_cell_length_b 9.392
_cell_length_c 9.392
_cell_angle_alpha 34.25
_cell_angle_beta 34.25
_cell_angle_gamma 34.25
_symmetry_space_group_name_H-M 'P 1'
_symmetry_Int_Tables_number 1
loop_
_symmetry_equiv_pos_as_xyz
'x,y,z'
loop_
_atom_site_label
_atom_site_type_symbol
_atom_site_fract_x
_atom_site_fract_y
_atom_site_fract_z
Tb1 Tb 0.140 0.140 0.140
Tb2 Tb 0.860 0.860 0.860
Np1 Np 0.000 0.000 0.000
Al1 Al 0.077 0.586 0.586
Al2 Al 0.335 0.335 0.335
Al3 Al 0.414 0.414 0.923
Al4 Al 0.414 0.923 0.414
Al5 Al 0.500 0.500 0.500
Al6 Al 0.586 0.077 0.586
Al7 Al 0.586 0.586 0.077
Al8 Al 0.665 0.665 0.665
Al9 Al 0.923 0.414 0.414



# 3
# BaSrBr2 (GGA-PBE, optimized geometry)
# - total moment (μB/f.u.) = 0.000
# - polymorph energy (0 for the lowest one) (meV/atom) = 38
# - formation energy without anion corrections (eV/atom) = -1.463
data_BaSrBr2
_chemical_formula_sum 'Ba1 Sr1 Br2'
_cell_length_a 5.217
_cell_length_b 5.289
_cell_length_c 7.150
_cell_angle_alpha 90.00
_cell_angle_beta 90.00
_cell_angle_gamma 90.00
_symmetry_space_group_name_H-M 'P 1'
_symmetry_Int_Tables_number 1
loop_
_symmetry_equiv_pos_as_xyz
'x,y,z'
loop_
_atom_site_label
_atom_site_type_symbol
_atom_site_fract_x
_atom_site_fract_y
_atom_site_fract_z
Ba1 Ba 0.000 0.000 0.000
Sr1 Sr 0.500 0.500 0.475
Br1 Br 0.000 0.500 0.723
Br2 Br 0.500 0.000 0.715



# 4
# TaSbI2F (GGA-PBE, optimized geometry)
# - total moment (μB/f.u.) = 1.925
# - polymorph energy (0 for the lowest one) (meV/atom) = 131
# - formation energy without anion corrections (eV/atom) = 0.165
data_TaSbI2F
_chemical_formula_sum 'Ta1 Sb1 I2 F1'
_cell_length_a 5.799
_cell_length_b 5.799
_cell_length_c 3.989
_cell_angle_alpha 90.00
_cell_angle_beta 90.00
_cell_angle_gamma 90.00
_symmetry_space_group_name_H-M 'P 1'
_symmetry_Int_Tables_number 1
loop_
_symmetry_equiv_pos_as_xyz
'x,y,z'
loop_
_atom_site_label
_atom_site_type_symbol
_atom_site_fract_x
_atom_site_fract_y
_atom_site_fract_z
Ta1 Ta 0.000 0.000 0.000
Sb1 Sb 0.500 0.500 0.000
I1 I 0.000 0.500 0.500
I2 I 0.500 0.000 0.500
F1 F 0.000 0.000 0.500



# 5
# Pr5Dy4Cd (GGA-PBE, optimized geometry)
# - ΔH_f (0 K) (meV per atom) = -42.9
# - total moment (μB/f.u.) = 0.000
data_Pr5Dy4Cd
_chemical_formula_sum 'Pr5 Dy4 Cd1'
_cell_length_a 3.664
_cell_length_b 3.664
_cell_length_c 24.560
_cell_angle_alpha 90.00
_cell_angle_beta 90.00
_cell_angle_gamma 90.00
_symmetry_space_group_name_H-M 'P 1'
_symmetry_Int_Tables_number 1
loop_
_symmetry_equiv_pos_as_xyz
'x,y,z'
loop_
_atom_site_label
_atom_site_type_symbol
_atom_site_fract_x
_atom_site_fract_y
_atom_site_fract_z
Pr1 Pr 0.000 0.000 0.000
Pr2 Pr 0.000 0.000 0.206
Pr3 Pr 0.000 0.000 0.412
Pr4 Pr 0.000 0.000 0.588
Pr5 Pr 0.000 0.000 0.794
Dy1 Dy 0.500 0.500 0.103
Dy2 Dy 0.500 0.500 0.309
Dy3 Dy 0.500 0.500 0.691
Dy4 Dy 0.500 0.500 0.897
Cd1 Cd 0.500 0.500 0.500



# 6
# Sr2AlPb (GGA-PBE, optimized geometry)
# - ΔH_f (0 K) (meV per atom) = -293.9
# - total moment (μB/f.u.) = 0.000
# - polymorph energy (0 for the lowest one) (meV/atom) = 6
data_Sr2AlPb
_chemical_formula_sum 'Sr2 Al1 Pb1'
_cell_length_a 5.798
_cell_length_b 5.798
_cell_length_c 3.928
_cell_angle_alpha 90.00
_cell_angle_beta 90.00
_cell_angle_gamma 90.14
_symmetry_space_group_name_H-M 'P 1'
_symmetry_Int_Tables_number 1
loop_
_symmetry_equiv_pos_as_xyz
'x,y,z'
loop_
_atom_site_label
_atom_site_type_symbol
_atom_site_fract_x
_atom_site_fract_y
_atom_site_fract_z
Sr1 Sr 0.000 0.500 0.000
Sr2 Sr 0.500 0.000 0.000
Al1 Al 0.000 0.000 0.500
Pb1 Pb 0.500 0.500 0.500



# 7
# AgPd2Au (GGA-PBE, optimized geometry)
# - ΔH_f (0 K) (meV per atom) = -32.4
# - total moment (μB/f.u.) = 0.000
# - polymorph energy (0 for the lowest one) (meV/atom) = 27
data_AgPd2Au
_chemical_formula_sum 'Ag1 Pd2 Au1'
_cell_length_a 4.556
_cell_length_b 4.556
_cell_length_c 4.556
_cell_angle_alpha 60.00
_cell_angle_beta 60.00
_cell_angle_gamma 60.00
_symmetry_space_group_name_H-M 'P 1'
_symmetry_Int_Tables_number 1
loop_
_symmetry_equiv_pos_as_xyz
'x,y,z'
loop_
_atom_site_label
_atom_site_type_symbol
_atom_site_fract_x
_atom_site_fract_y
_atom_site_fract_z
Ag1 Ag 0.000 0.000 0.000
Pd1 Pd 0.250 0.250 0.250
Pd2 Pd 0.750 0.750 0.750
Au1 Au 0.500 0.500 0.500



# 8
# La2MgPd4 (GGA-PBE, optimized geometry)
# - ΔH_f (0 K) (meV per atom) = -446.1
# - total moment (μB/f.u.) = 0.000
data_La2MgPd4
_chemical_formula_sum 'La2 Mg1 Pd4'
_cell_length_a 8.395
_cell_length_b 8.089
_cell_length_c 4.813
_cell_angle_alpha 76.54
_cell_angle_beta 69.58
_cell_angle_gamma 33.89
_symmetry_space_group_name_H-M 'P 1'
_symmetry_Int_Tables_number 1
loop_
_symmetry_equiv_pos_as_xyz
'x,y,z'
loop_
_atom_site_label
_atom_site_type_symbol
_atom_site_fract_x
_atom_site_fract_y
_atom_site_fract_z
La1 La 0.141 0.141 0.859
La2 La 0.859 0.859 0.141
Mg1 Mg 0.500 0.500 0.500
Pd1 Pd 0.000 0.000 0.500
Pd2 Pd 0.331 0.331 0.669
Pd3 Pd 0.500 0.500 0.000
Pd4 Pd 0.669 0.669 0.331



Please write out number 6 again, unchanged.
# Sr2AlPb (GGA-PBE, optimized geometry)
# - ΔH_f (0 K) (meV per atom) = -293.9
# - total moment (μB/f.u.) = 0.000
# - polymorph energy (0 for the lowest one) (meV/atom) = 6
data_Sr2AlPb
_chemical_formula_sum 'Sr2 Al1 Pb1'
_cell_length_a 5.798
_cell_length_b 5.798
_cell_length_c 3.928
_cell_angle_alpha 90.00
_cell_angle_beta 90.00
_cell_angle_gamma 90.14
_symmetry_space_group_name_H-M 'P 1'
_symmetry_Int_Tables_number 1
loop_
_symmetry_equiv_pos_as_xyz
'x,y,z'
loop_
_atom_site_label
_atom_site_type_symbol
_atom_site_fract_x
_atom_site_fract_y
_atom_site_fract_z
Sr1 Sr 0.000 0.500 0.000
Sr2 Sr 0.500 0.000 0.000
Al1 Al 0.000 0.000 0.500
Pb1 Pb 0.500 0.500 0.500



Question: Which formula does entry 5 have?
Answer: Pr5Dy4Cd



Question: Look up the total moment of the first one.
Answer: 1.131 μB/f.u.